1.
Compound: PrHoAlHg
Source: Alexandria
Functional: GGA-PBE
Structure: relaxed

Computed properties:
SG: P4mm, No. 99
DOS(E_F) (states/eV/cell): 2.36

Cell lengths 3.6350, 3.6350, 7.8329 Å; angles 90.00, 90.00, 90.00 degrees
Fractional positions:
Pr: 0.0000 0.0000 0.0000
Ho: 0.0000 0.0000 0.5215
Al: 0.5000 0.5000 0.7495
Hg: 0.5000 0.5000 0.2876

2.
Compound: PrHoAlHg
Source: Alexandria
Functional: GGA-PBE
Structure: relaxed

Computed properties:
SG: F-43m, No. 216
DOS(E_F) (states/eV/cell): 18.70

Cell lengths 7.5068, 7.5068, 7.5068 Å; angles 90.00, 90.00, 90.00 degrees
Fractional positions:
Pr: 0.0000 0.0000 0.0000
Pr: 0.0000 0.5000 0.5000
Pr: 0.5000 0.0000 0.5000
Pr: 0.5000 0.5000 0.0000
Ho: 0.0000 0.0000 0.5000
Ho: 0.0000 0.5000 0.0000
Ho: 0.5000 0.0000 0.0000
Ho: 0.5000 0.5000 0.5000
Al: 0.2500 0.2500 0.7500
Al: 0.2500 0.7500 0.2500
Al: 0.7500 0.2500 0.2500
Al: 0.7500 0.7500 0.7500
Hg: 0.2500 0.2500 0.2500
Hg: 0.2500 0.7500 0.7500
Hg: 0.7500 0.2500 0.7500
Hg: 0.7500 0.7500 0.2500

Which structure is the least stable? The one labeled 2.

1.
Compound: HoTmAlHg
Source: Alexandria
Functional: GGA-PBE
Structure: relaxed

Computed properties:
SG: P4mm, No. 99
DOS(E_F) (states/eV/cell): 2.74

Cell lengths 3.5916, 3.5916, 7.4435 Å; angles 90.00, 90.00, 90.00 degrees
Fractional positions:
Ho: 0.0000 0.0000 0.0000
Tm: 0.0000 0.0000 0.5189
Al: 0.5000 0.5000 0.7572
Hg: 0.5000 0.5000 0.2660

2.
Compound: HoTmAlHg
Source: Alexandria
Functional: GGA-PBE
Structure: relaxed

Computed properties:
SG: F-43m, No. 216
DOS(E_F) (states/eV/cell): 16.69

Cell lengths 7.2982, 7.2982, 7.2982 Å; angles 90.00, 90.00, 90.00 degrees
Fractional positions:
Ho: 0.0000 0.0000 0.0000
Ho: 0.0000 0.5000 0.5000
Ho: 0.5000 0.0000 0.5000
Ho: 0.5000 0.5000 0.0000
Tm: 0.0000 0.0000 0.5000
Tm: 0.0000 0.5000 0.0000
Tm: 0.5000 0.0000 0.0000
Tm: 0.5000 0.5000 0.5000
Al: 0.2500 0.2500 0.7500
Al: 0.2500 0.7500 0.2500
Al: 0.7500 0.2500 0.2500
Al: 0.7500 0.7500 0.7500
Hg: 0.2500 0.2500 0.2500
Hg: 0.2500 0.7500 0.7500
Hg: 0.7500 0.2500 0.7500
Hg: 0.7500 0.7500 0.2500

Which structure is the least stable? The one labeled 2.

1.
Compound: AlHg2I
Source: Alexandria
Functional: GGA-PBE
Structure: relaxed

Computed properties:
SG: Fm-3m, No. 225
DOS(E_F) (states/eV/cell): 0.60

Cell lengths 7.9249, 7.9249, 7.9249 Å; angles 90.00, 90.00, 90.00 degrees
Fractional positions:
Al: 0.0000 0.0000 0.0000
Al: 0.0000 0.5000 0.5000
Al: 0.5000 0.0000 0.5000
Al: 0.5000 0.5000 0.0000
Hg: 0.2500 0.2500 0.2500
Hg: 0.2500 0.2500 0.7500
Hg: 0.2500 0.7500 0.2500
Hg: 0.2500 0.7500 0.7500
Hg: 0.7500 0.2500 0.2500
Hg: 0.7500 0.2500 0.7500
Hg: 0.7500 0.7500 0.2500
Hg: 0.7500 0.7500 0.7500
I: 0.0000 0.0000 0.5000
I: 0.0000 0.5000 0.0000
I: 0.5000 0.0000 0.0000
I: 0.5000 0.5000 0.5000

2.
Compound: AlHg2I
Source: Alexandria
Functional: GGA-PBE
Structure: relaxed

Computed properties:
SG: I-42d, No. 122
DOS(E_F) (states/eV/cell): 1.90

Cell lengths 7.0200, 7.0200, 12.2699 Å; angles 90.00, 90.00, 90.00 degrees
Fractional positions:
Al: 0.0000 0.0000 0.0000
Al: 0.0000 0.5000 0.2500
Al: 0.5000 0.0000 0.7500
Al: 0.5000 0.5000 0.5000
Hg: 0.1823 0.2500 0.1250
Hg: 0.2500 0.6823 0.3750
Hg: 0.2500 0.8177 0.8750
Hg: 0.3177 0.2500 0.6250
Hg: 0.6823 0.7500 0.6250
Hg: 0.7500 0.1823 0.8750
Hg: 0.7500 0.3177 0.3750
Hg: 0.8177 0.7500 0.1250
I: 0.0000 0.0000 0.5000
I: 0.0000 0.5000 0.7500
I: 0.5000 0.0000 0.2500
I: 0.5000 0.5000 0.0000

Which structure is the least stable? The one labeled 1.

1.
Compound: AlHgIO2
Source: Alexandria
Functional: GGA-PBE
Structure: relaxed

Computed properties:
SG: P4/mmm, No. 123
DOS(E_F) (states/eV/cell): 8.28

Cell lengths 4.2268, 4.2268, 6.5262 Å; angles 90.00, 90.00, 90.00 degrees
Fractional positions:
Al: 0.0000 0.0000 0.0000
Hg: 0.5000 0.5000 0.5000
I: 0.5000 0.5000 0.0000
O: 0.0000 0.5000 0.5000
O: 0.5000 0.0000 0.5000

2.
Compound: AlHgIO2
Source: Alexandria
Functional: GGA-PBE
Structure: relaxed

Computed properties:
SG: P4/mmm, No. 123
DOS(E_F) (states/eV/cell): 2.07

Cell lengths 3.8859, 3.8859, 6.1423 Å; angles 90.00, 90.00, 90.00 degrees
Fractional positions:
Al: 0.0000 0.0000 0.0000
Hg: 0.5000 0.5000 0.5000
I: 0.0000 0.0000 0.5000
O: 0.0000 0.5000 0.0000
O: 0.5000 0.0000 0.0000

Which structure is the least stable? The one labeled 1.